[1]
VASP calculation (SCAN) on a PBEsol-optimized structure of TiFeO3.

## Properties
ΔE_f (raw) = -2.43 eV per atom
DOS at the Fermi energy = 0.981 states/eV/f.u.
Total magnetic moment = 8.00 μB per cell
E = -12.997 eV/atom

abc: 5.316 5.491 5.539
angles: 66.30 72.60 72.02
Sites, in units of the cell vectors:
Ti1 0.084 0.254 0.412
Ti2 0.916 0.746 0.588
Fe1 0.432 0.567 0.755
Fe2 0.568 0.433 0.245
O1 0.173 0.906 0.653
O2 0.238 0.466 0.532
O3 0.322 0.314 0.097
O4 0.678 0.686 0.903
O5 0.762 0.534 0.468
O6 0.827 0.094 0.347

***

[2]
VASP calculation (SCAN) on a PBEsol-optimized structure of Li9Mn2Co5O16.

## Properties
Distance to the lowest polymorph of the same formula = 10 meV/atom
ΔE_f (raw) = -2.03 eV per atom
Total magnetic moment = 5.99 μB per cell
E = -9.658 eV/atom

abc: 5.618 5.618 9.806
angles: 106.46 106.46 60.15
Sites, in units of the cell vectors:
Li1 0.000 0.000 0.000
Li2 0.238 0.752 0.751
Li3 0.245 0.245 0.252
Li4 0.248 0.762 0.249
Li5 0.250 0.250 0.750
Li6 0.750 0.750 0.250
Li7 0.752 0.238 0.751
Li8 0.755 0.755 0.748
Li9 0.762 0.248 0.249
Mn1 0.000 0.500 0.000
Mn2 0.500 0.000 0.000
Co1 0.000 0.000 0.500
Co2 0.000 0.500 0.500
Co3 0.500 0.000 0.500
Co4 0.500 0.500 0.000
Co5 0.500 0.500 0.500
O1 0.131 0.131 0.392
O2 0.132 0.631 0.393
O3 0.134 0.612 0.886
O4 0.136 0.136 0.886
O5 0.369 0.369 0.607
O6 0.369 0.868 0.607
O7 0.371 0.371 0.111
O8 0.388 0.866 0.114
O9 0.612 0.134 0.886
O10 0.629 0.629 0.889
O11 0.631 0.132 0.393
O12 0.631 0.631 0.393
O13 0.864 0.864 0.114
O14 0.866 0.388 0.114
O15 0.868 0.369 0.607
O16 0.869 0.869 0.608

***

[3]
VASP calculation (SCAN) on a PBEsol-optimized structure of Lu4MnS7.

## Properties
ΔE_f (raw) = -2.10 eV per atom
Total magnetic moment = 5.00 μB per cell
E = -27.687 eV/atom

abc: 6.338 6.338 11.104
angles: 104.42 104.42 33.68
Sites, in units of the cell vectors:
Lu1 0.000 0.000 0.000
Lu2 0.387 0.387 0.598
Lu3 0.586 0.586 0.370
Lu4 0.694 0.694 0.809
Mn1 0.816 0.816 0.225
S1 0.034 0.034 0.750
S2 0.216 0.216 0.315
S3 0.356 0.356 0.851
S4 0.433 0.433 0.154
S5 0.661 0.661 0.029
S6 0.732 0.732 0.589
S7 0.958 0.958 0.444